1.
A plane-wave DFT calculation with GGA-PBE was carried out for an optimized crystal structure of Zr2B6Mo.

Calculated values
E ... -8.299 eV per atom
Crystal system ... hexagonal
Density of states at the Fermi level ... 3.367 states/eV per cell

```
Zr2B6Mo
1.0
5.406 0.000 0.000
-2.703 4.682 0.000
0.000 0.000 3.496
Zr B Mo
2 6 1
Direct
0.333 0.667 0.000
0.667 0.333 0.000
0.000 0.328 0.500
0.000 0.672 0.500
0.328 0.000 0.500
0.328 0.328 0.500
0.672 0.000 0.500
0.672 0.672 0.500
0.000 0.000 0.000
```

---

2.
A plane-wave DFT calculation with GGA-PBE was carried out for an optimized crystal structure of TiSb3.

Calculated values
E ... -4.905 eV per atom
Crystal system ... tetragonal
Formation energy (no corrections) ... 0.16 eV per atom
Excess energy over the best structure of this formula in the dataset ... 306 meV per atom
Density of states at the Fermi level ... 3.955 states/eV per cell

```
TiSb3
1.0
-2.194 2.194 5.007
2.194 -2.194 5.007
2.194 2.194 -5.007
Ti Sb
1 3
Direct
0.000 0.000 0.000
0.250 0.750 0.500
0.500 0.500 0.000
0.750 0.250 0.500
```

---

3.
A plane-wave DFT calculation with GGA-PBE was carried out for an optimized crystal structure of CuSi2As.

Calculated values
E ... -4.673 eV per atom
Crystal system ... monoclinic
Formation energy (no corrections) ... 0.22 eV per atom
Excess energy over the best structure of this formula in the dataset ... 16 meV per atom
Density of states at the Fermi level ... 1.055 states/eV per cell

```
CuSi2As
1.0
3.487 -1.352 0.000
3.487 1.352 0.000
-0.819 0.000 6.749
Cu Si As
1 2 1
Direct
0.000 0.000 0.000
0.297 0.297 0.758
0.549 0.549 0.539
0.727 0.727 0.245
```

---

4.
A plane-wave DFT calculation with GGA-PBE was carried out for an optimized crystal structure of NdY2Ho4.

Calculated values
E ... -5.104 eV per atom
Crystal system ... monoclinic
Excess energy over the best structure of this formula in the dataset ... 0 meV per atom
Density of states at the Fermi level ... 10.675 states/eV per cell

```
NdY2Ho4
1.0
8.349 -1.762 0.000
8.349 1.762 0.000
-4.303 0.000 7.631
Nd Y Ho
1 2 4
Direct
0.000 0.000 0.000
0.071 0.071 0.430
0.929 0.929 0.570
0.294 0.294 0.707
0.357 0.357 0.164
0.643 0.643 0.836
0.706 0.706 0.293
```

---

5.
A plane-wave DFT calculation with GGA-PBE was carried out for an optimized crystal structure of CaCuC.

Calculated values
E ... -5.095 eV per atom
Crystal system ... tetragonal
Excess energy over the best structure of this formula in the dataset ... 0 meV per atom
Density of states at the Fermi level ... 2.589 states/eV per cell

```
CaCuC
1.0
3.766 0.000 0.000
0.000 3.766 0.000
0.000 0.000 7.457
Ca Cu C
2 2 2
Direct
0.000 0.000 0.000
0.000 0.000 0.500
0.500 0.500 0.164
0.500 0.500 0.836
0.500 0.500 0.413
0.500 0.500 0.587
```

---

6.
A plane-wave DFT calculation with GGA-PBE was carried out for an optimized crystal structure of U3PSe6.

Calculated values
E ... -6.856 eV per atom
Crystal system ... orthorhombic
Formation energy (no corrections) ... -0.84 eV per atom
Density of states at the Fermi level ... 34.870 states/eV per cell

```
U3PSe6
1.0
5.524 -6.790 0.000
5.524 6.790 0.000
0.000 0.000 6.966
U P Se
6 2 12
Direct
0.098 0.902 0.500
0.212 0.422 0.366
0.422 0.212 0.866
0.578 0.788 0.366
0.788 0.578 0.866
0.902 0.098 0.000
0.371 0.629 0.995
0.629 0.371 0.495
0.062 0.595 0.654
0.124 0.202 0.684
0.202 0.124 0.184
0.262 0.738 0.244
0.405 0.938 0.654
0.474 0.526 0.653
0.526 0.474 0.153
0.595 0.062 0.154
0.738 0.262 0.744
0.798 0.876 0.684
0.876 0.798 0.184
0.938 0.405 0.154
```

---

7.
A plane-wave DFT calculation with GGA-PBE was carried out for an optimized crystal structure of NdAl3Ag2.

Calculated values
E ... -3.848 eV per atom
Crystal system ... monoclinic
Density of states at the Fermi level ... 5.048 states/eV per cell

```
NdAl3Ag2
1.0
8.168 -2.172 0.000
8.168 2.172 0.000
-3.494 0.000 7.002
Nd Al Ag
2 6 4
Direct
0.147 0.147 0.078
0.853 0.853 0.922
0.032 0.032 0.371
0.313 0.313 0.544
0.385 0.385 0.276
0.615 0.615 0.724
0.687 0.687 0.456
0.968 0.968 0.629
0.195 0.195 0.687
0.480 0.480 0.813
0.520 0.520 0.187
0.805 0.805 0.313
```

---

8.
A plane-wave DFT calculation with GGA-PBE was carried out for an optimized crystal structure of PrInHg5.

Calculated values
E ... -1.524 eV per atom
Crystal system ... tetragonal
Density of states at the Fermi level ... 3.000 states/eV per cell

```
PrInHg5
1.0
5.040 0.000 0.000
0.000 5.040 0.000
0.000 0.000 7.452
Pr In Hg
1 1 5
Direct
0.000 0.000 0.000
0.000 0.000 0.500
0.000 0.500 0.278
0.000 0.500 0.722
0.500 0.000 0.278
0.500 0.000 0.722
0.500 0.500 0.000
```